Arrangement w

Si2MoBr: relaxed, PBE.

- Space-group type: No. 123

Cell: 5.0951 3.6782 3.6782 Å, 90.00 90.00 90.00°
Site moments in Bohr magnetons follow the coordinates.
Positions (direct):
Si: 0.0000 0.0000 0.0000  -0.03
Si: 0.0000 0.5000 0.5000  -0.03
Mo: 0.5000 0.0000 0.5000  1.39
Br: 0.5000 0.5000 0.0000  0.01

---

Arrangement x

Si2MoBr: relaxed, PBE.

- Space-group type: No. 47

Cell: 3.1174 3.2445 7.1367 Å, 89.96 90.00 90.00°
Positions (direct):
Si: 0.0000 0.2497 0.9341
Si: 0.0000 0.2503 0.5659
Br: 0.5000 0.2500 0.2500
Mo: 0.5000 0.7500 0.7500

---

Arrangement y

Si2MoBr: relaxed, PBE.

- Space-group type: No. 122

Cell: 6.0100 6.0100 7.1797 Å, 65.26 65.26 90.00°
Positions (direct):
Mo: 0.0000 0.0000 0.0000
Mo: 0.7500 0.2500 0.5000
Si: 0.0634 0.6250 0.2500
Si: 0.6866 0.1250 0.2500
Si: 0.8750 0.9366 0.7500
Si: 0.3750 0.3134 0.7500
Br: 0.5000 0.5000 0.0000
Br: 0.2500 0.7500 0.5000

---

Arrangement z

Si2MoBr: relaxed, PBE.

- Space-group type: No. 99

Cell: 3.1585 3.1585 7.7451 Å, 90.00 90.00 90.00°
Positions (direct):
Mo: 0.5000 0.5000 0.8061
Si: 0.0000 0.0000 0.9790
Si: 0.5000 0.5000 0.1401
Br: 0.0000 0.0000 0.5749

---

Winner for stability: arrangement x

---

Arrangement w

Si2MoBr: relaxed, PBE.

- Space-group type: No. 47

Cell: 2.9203 4.7110 4.8038 Å, 90.00 90.00 90.00°
Positions (direct):
Si: 0.0000 0.0000 0.0000
Si: 0.5000 0.5000 0.0000
Br: 0.5000 0.0000 0.5000
Mo: 0.0000 0.5000 0.5000

---

Arrangement x

Si2MoBr: relaxed, PBE.

- Space-group type: No. 139

Cell: 4.9856 4.9856 4.9856 Å, 132.69 132.69 69.15°
Site moments in Bohr magnetons follow the coordinates.
Positions (direct):
Si: 0.0000 0.0000 0.0000  -0.01
Si: 0.5000 0.5000 0.0000  -0.01
Br: 0.7500 0.2500 0.5000  0.00
Mo: 0.2500 0.7500 0.5000  0.38

---

Arrangement y

Si2MoBr: relaxed, PBE.

- Space-group type: No. 160

Cell: 9.2226 9.2226 9.2226 Å, 19.11 19.11 19.11°
Positions (direct):
Br: 0.4810 0.4810 0.4810
Mo: 0.7451 0.7451 0.7451
Si: 0.0048 0.0048 0.0048
Si: 0.2691 0.2691 0.2691

---

Winner for stability: arrangement y

---

Arrangement w

Si2MoBr: relaxed, PBE.

- Space-group type: No. 166

Cell: 7.9435 7.9435 7.9435 Å, 23.70 23.70 23.70°
Positions (direct):
Br: 0.2500 0.2500 0.2500
Si: 0.4883 0.4883 0.4883
Si: 0.0117 0.0117 0.0117
Mo: 0.7500 0.7500 0.7500

---

Arrangement x

Si2MoBr: relaxed, PBE.

- Space-group type: No. 44

Cell: 5.9502 5.9502 5.9502 Å, 152.75 130.60 57.33°
Positions (direct):
Si: 0.0308 0.0308 0.0000
Si: 0.7828 0.2828 0.5000
Br: 0.4504 0.4504 0.0000
Mo: 0.2360 0.7360 0.5000

---

Winner for stability: arrangement w